[1]
Crystalline PaPt3 at its relaxed geometry. Source: OQMD via LeMat-Bulk, functional PBE.

Results
Magnetic moment in μB/f.u.: 0.0
Formation energy in eV per atom: -1.038
Final energy in Ha/atom: -0.292
Density in g/cm³: 18.533

Cell and atoms, written as POSCAR:
```
PaPt3
1.0
5.758 0.000 0.000
-2.879 4.986 0.000
0.000 0.000 5.095
Pa Pt
2 6
direct
0.333 0.667 0.250
0.667 0.333 0.750
0.166 0.331 0.750
0.166 0.834 0.750
0.331 0.166 0.250
0.669 0.834 0.750
0.834 0.166 0.250
0.834 0.669 0.250
```

=====

[2]
Crystalline Cd2Tc2O5 at its relaxed geometry. Source: OQMD via LeMat-Bulk, functional PBE.

Results
Magnetic moment in μB/f.u.: 0.0
Energy relative to the lowest polymorph listed for this composition in meV/atom: 0.0
Final energy in Ha/atom: -0.222
Density in g/cm³: 7.503

Cell and atoms, written as POSCAR:
```
Cd2Tc2O5
1.0
3.879 0.000 0.000
0.000 3.879 0.000
0.000 0.000 7.366
Cd Tc O
2 2 5
direct
0.000 0.000 0.000
0.000 0.000 0.500
0.500 0.500 0.206
0.500 0.500 0.794
0.000 0.500 0.208
0.000 0.500 0.792
0.500 0.000 0.208
0.500 0.000 0.792
0.500 0.500 0.500
```

=====

[3]
Crystalline Sr2BeOsO6 at its relaxed geometry. Source: OQMD via LeMat-Bulk, functional PBE.

Results
Magnetic moment in μB/f.u.: 1.6
Final energy in Ha/atom: -0.252
Density in g/cm³: 7.089

Cell and atoms, written as POSCAR:
```
Sr2BeOsO6
1.0
5.376 0.000 0.000
-0.008 5.377 0.000
0.000 -0.001 7.625
Sr Be Os O
4 2 2 12
direct
0.000 0.000 0.250
0.000 0.000 0.750
0.500 0.500 0.250
0.500 0.500 0.750
0.000 0.500 0.000
0.500 0.000 0.500
0.000 0.500 0.500
0.500 0.000 0.000
0.001 0.500 0.246
0.240 0.749 0.999
0.249 0.259 0.000
0.252 0.243 0.500
0.258 0.753 0.501
0.499 0.000 0.254
0.501 0.000 0.746
0.742 0.247 0.499
0.748 0.757 0.500
0.751 0.741 0.000
0.760 0.251 0.001
0.999 0.500 0.754
```

=====

[4]
Crystalline BaSi2Ni at its relaxed geometry. Source: OQMD via LeMat-Bulk, functional PBE.

Results
Magnetic moment in μB/f.u.: 0.0
Final energy in Ha/atom: -0.152
Density in g/cm³: 5.229

Cell and atoms, written as POSCAR:
```
BaSi2Ni
1.0
0.000 3.421 3.421
3.421 0.000 3.421
3.421 3.421 0.000
Ba Si Ni
1 2 1
direct
0.000 0.000 0.000
0.500 0.500 0.500
0.750 0.750 0.750
0.250 0.250 0.250
```

=====

[5]
Crystalline Tb2AsIBr at its relaxed geometry. Source: OQMD via LeMat-Bulk, functional PBE.

Results
Magnetic moment in μB/f.u.: 0.0
Final energy in Ha/atom: -0.185
Density in g/cm³: 6.241

Cell and atoms, written as POSCAR:
```
Tb2AsIBr
1.0
4.133 0.000 0.000
-2.066 3.579 0.000
0.000 0.000 10.786
Tb As I Br
2 1 1 1
direct
0.000 0.000 0.000
0.333 0.667 0.290
0.667 0.333 0.145
0.333 0.667 0.811
0.000 0.000 0.455
```

=====

[6]
Crystalline LaPrFe2Si4 at its relaxed geometry. Source: OQMD via LeMat-Bulk, functional PBE.

Results
Magnetic moment in μB/f.u.: 0.0
Energy relative to the lowest polymorph listed for this composition in meV/atom: 0.0
Final energy in Ha/atom: -0.245
Density in g/cm³: 5.933

Cell and atoms, written as POSCAR:
```
LaPrFe2Si4
1.0
4.381 0.000 0.000
0.000 4.060 0.000
-1.961 0.000 7.927
La Pr Fe Si
1 1 2 4
direct
0.000 0.000 0.000
0.791 0.500 0.588
0.275 0.000 0.402
0.513 0.500 0.186
0.071 0.500 0.292
0.350 0.000 0.695
0.439 0.500 0.890
0.718 0.000 0.298
```